# 1
Material: KCuCl
Method: DFT, meta-GGA SCAN
State: single point on PBEsol structure

Crystal system ... tetragonal
ΔE_f (raw) ... -318 meV/atom
Magnetization ... 0.000 μB per atom

abc: 3.3826 3.3826 11.8415
angles: 90.00 90.00 90.00
Space group I4mm (No. 107)
Unique sites:
K: 0.0000 0.0000 0.0000 x2
Cu: 0.0000 0.0000 0.2862 x2
Cl: 0.0000 0.0000 0.6697 x2

# 2
Material: Na2ZnCd2
Method: DFT, meta-GGA SCAN
State: single point on PBEsol structure

ΔE_f ... 0.24 eV per atom
Crystal system ... tetragonal
Energy relative to the lowest polymorph listed for this composition ... 1.292 eV per formula unit
Magnetization ... 0.000 μB per atom

abc: 4.0296 4.0296 15.0307
angles: 90.00 90.00 90.00
Space group I4/mmm (No. 139)
Unique sites:
Na: 0.0000 0.5000 0.2500 x4
Zn: 0.0000 0.0000 0.0000 x2
Cd: 0.0000 0.0000 0.4092 x4

# 3
Material: MnPOs
Method: DFT, meta-GGA SCAN
State: single point on PBEsol structure

ΔE_f ... 0.07 eV per atom
Crystal system ... trigonal
Magnetization ... 0.001 μB per atom

abc: 3.8995 3.8995 2.7230
angles: 90.00 90.00 120.00
Space group P3m1 (No. 156)
Unique sites:
Mn: 0.0000 0.0000 0.0000 x1
P: 0.6667 0.3333 0.8330 x1
Os: 0.3333 0.6667 0.5138 x1

# 4
Material: Ca2BeAuO
Method: DFT, meta-GGA SCAN
State: single point on PBEsol structure

Crystal system ... tetragonal
ΔE_f (raw) ... -754 meV/atom
Magnetization ... 0.000 μB per atom

abc: 5.5869 5.5869 3.0874
angles: 90.00 90.00 90.00
Space group P4/mmm (No. 123)
Unique sites:
Ca: 0.0000 0.5000 0.0000 x2
Be: 0.0000 0.0000 0.0000 x1
Au: 0.5000 0.5000 0.5000 x1
O: 0.0000 0.0000 0.5000 x1

# 5
Material: YRe3W
Method: DFT, meta-GGA SCAN
State: single point on PBEsol structure

ΔE_f ... 1.42 eV per atom
Crystal system ... cubic
Magnetization ... 0.000 μB per atom

abc: 4.7174 4.7174 4.7174
angles: 90.00 90.00 90.00
Space group Pm-3m (No. 221)
Unique sites:
Y: 0.0000 0.0000 0.0000 x1
Re: 0.0000 0.5000 0.5000 x3
W: 0.5000 0.5000 0.5000 x1

# 6
Material: Rb3PdAu
Method: DFT, meta-GGA SCAN
State: single point on PBEsol structure

ΔE_f ... 0.18 eV per atom
Crystal system ... cubic
Magnetization ... 0.031 μB per atom

abc: 6.2281 6.2281 6.2281
angles: 90.00 90.00 90.00
Space group Pm-3m (No. 221)
Unique sites:
Rb: 0.0000 0.0000 0.5000 x3
Pd: 0.5000 0.5000 0.5000 x1
Au: 0.0000 0.0000 0.0000 x1

Number 1: electronic total energy -32.5 eV/f.u.. Number 2: electronic total energy -81.6 eV/f.u.. Number 3: electronic total energy -100.3 eV/f.u.. Number 4: electronic total energy -102.8 eV/f.u.. Number 5: electronic total energy -303.7 eV/f.u.. Number 6: electronic total energy -163.3 eV/f.u..